DFT (GGA-PBE) results for crystalline Tm5CoHg2 at its relaxed geometry.

abc: 7.223 11.545 4.767
angles: 90.00 90.00 90.00
Element x y z (fractional)
Tm 0.000 0.000 0.000
Tm 0.138 0.300 0.000
Tm 0.177 0.581 0.500
Tm 0.323 0.081 0.500
Tm 0.362 0.800 0.000
Tm 0.500 0.500 0.000
Tm 0.638 0.200 0.000
Tm 0.677 0.919 0.500
Tm 0.823 0.419 0.500
Tm 0.862 0.700 0.000
Co 0.000 0.500 0.000
Co 0.500 0.000 0.000
Hg 0.079 0.839 0.500
Hg 0.421 0.339 0.500
Hg 0.579 0.661 0.500
Hg 0.921 0.161 0.500

Calculated values
space group	No. 55
energy relative to the lowest polymorph listed for this composition	0	meV per atom
DFT formation energy	-255	kJ/mol of formula units
calculated density	10.90	g/cm3


DFT (GGA-PBE) results for crystalline La3Y at its relaxed geometry.

abc: 3.698 3.698 12.089
angles: 90.00 90.00 120.00
Element x y z (fractional)
La 0.000 0.000 0.000
La 0.667 0.333 0.258
La 0.667 0.333 0.742
Y 0.000 0.000 0.500

Calculated values
space group	No. 187
DFT formation energy	12	kJ/mol of formula units
calculated density	5.86	g/cm3


What is the DFT formation energy in the first record?
-255 kJ/mol of formula units